## PrCuSi3 (PBE)

Data for a relaxed structure of PrCuSi3. Values from VASP.

```
&SYSTEM
  ibrav = 0, nat = 10, ntyp = 3
/
ATOMIC_SPECIES
Pr 140.91 Pr.upf
Cu 63.55 Cu.upf
Si 28.09 Si.upf
ATOMIC_POSITIONS crystal
Pr 0.167 0.833 0.000
Pr 0.833 0.167 0.000
Cu 0.390 0.610 0.500
Cu 0.610 0.390 0.500
Si 0.055 0.945 0.500
Si 0.279 0.721 0.500
Si 0.445 0.555 0.000
Si 0.555 0.445 0.000
Si 0.721 0.279 0.500
Si 0.945 0.055 0.500
CELL_PARAMETERS angstrom
2.053 -10.654 0.000
2.053 10.654 0.000
0.000 0.000 4.147
```

## Properties
Space-group type   Cmmm
Uncorrected formation energy   -41.02 kJ/mol of atoms



## LaMg2Sc (PBE)

Data for a relaxed structure of LaMg2Sc. Values from VASP.

```
&SYSTEM
  ibrav = 0, nat = 4, ntyp = 3
/
ATOMIC_SPECIES
La 138.91 La.upf
Mg 24.30 Mg.upf
Sc 44.96 Sc.upf
ATOMIC_POSITIONS crystal
La 0.000 0.000 0.000
Mg 0.000 0.000 0.506
Mg 0.500 0.500 0.258
Sc 0.500 0.500 0.728
CELL_PARAMETERS angstrom
3.293 0.000 0.000
0.000 4.876 0.000
0.000 0.000 6.768
```

## Properties
Calculated formation energy   0.16 eV per formula unit
Space-group type   Pmm2



## KAs2Ru (PBE)

Data for a relaxed structure of KAs2Ru. Values from VASP.

```
&SYSTEM
  ibrav = 0, nat = 8, ntyp = 3
/
ATOMIC_SPECIES
K 39.10 K.upf
As 74.92 As.upf
Ru 101.07 Ru.upf
ATOMIC_POSITIONS crystal
K 0.000 0.000 0.000
K 0.500 0.500 0.500
As 0.000 0.000 0.356
As 0.000 0.500 0.165
As 0.500 0.000 0.665
As 0.500 0.500 0.856
Ru 0.000 0.500 0.741
Ru 0.500 0.000 0.241
CELL_PARAMETERS angstrom
3.078 0.000 0.000
0.000 3.224 0.000
0.000 0.000 17.013
```

## Properties
Calculated formation energy   -0.51 eV per formula unit
Space-group type   Imm2
Relative energy among the computed polymorphs   77.1 meV/atom



## CaDy2Pb3 (PBE)

Data for a relaxed structure of CaDy2Pb3. Values from VASP.

```
&SYSTEM
  ibrav = 0, nat = 6, ntyp = 3
/
ATOMIC_SPECIES
Ca 40.08 Ca.upf
Dy 162.50 Dy.upf
Pb 207.20 Pb.upf
ATOMIC_POSITIONS crystal
Ca 0.000 0.000 0.000
Dy 0.000 0.000 0.335
Dy 0.000 0.000 0.665
Pb 0.500 0.500 0.171
Pb 0.500 0.500 0.500
Pb 0.500 0.500 0.829
CELL_PARAMETERS angstrom
3.565 0.000 0.000
0.000 3.565 0.000
0.000 0.000 13.561
```

## Properties
Calculated formation energy   -2.80 eV per formula unit
Space-group type   P4/mmm



## LaMgZn2Ga4 (PBE)

Data for a relaxed structure of LaMgZn2Ga4. Values from VASP.

```
&SYSTEM
  ibrav = 0, nat = 8, ntyp = 4
/
ATOMIC_SPECIES
La 138.91 La.upf
Mg 24.30 Mg.upf
Zn 65.41 Zn.upf
Ga 69.72 Ga.upf
ATOMIC_POSITIONS crystal
La 0.000 0.000 0.000
Mg 0.500 0.500 0.500
Zn 0.263 0.263 0.263
Zn 0.737 0.737 0.737
Ga 0.118 0.118 0.118
Ga 0.400 0.400 0.400
Ga 0.600 0.600 0.600
Ga 0.882 0.882 0.882
CELL_PARAMETERS angstrom
2.203 1.272 9.867
-2.203 1.272 9.867
0.000 -2.544 9.867
```

## Properties
Calculated formation energy   -2.06 eV per formula unit
Space-group type   R-3m



## TbTmZnOs (PBE)

Data for a relaxed structure of TbTmZnOs. Values from VASP.

```
&SYSTEM
  ibrav = 0, nat = 16, ntyp = 4
/
ATOMIC_SPECIES
Tb 158.93 Tb.upf
Tm 168.93 Tm.upf
Zn 65.41 Zn.upf
Os 190.23 Os.upf
ATOMIC_POSITIONS crystal
Tb 0.000 0.000 0.000
Tb 0.000 0.500 0.500
Tb 0.500 0.000 0.500
Tb 0.500 0.500 0.000
Tm 0.000 0.000 0.500
Tm 0.000 0.500 0.000
Tm 0.500 0.000 0.000
Tm 0.500 0.500 0.500
Zn 0.250 0.250 0.750
Zn 0.250 0.750 0.250
Zn 0.750 0.250 0.250
Zn 0.750 0.750 0.750
Os 0.250 0.250 0.250
Os 0.250 0.750 0.750
Os 0.750 0.250 0.750
Os 0.750 0.750 0.250
CELL_PARAMETERS angstrom
6.909 0.000 0.000
0.000 6.909 0.000
0.000 0.000 6.909
```

## Properties
Calculated formation energy   -1.18 eV per formula unit
Space-group type   F-43m



## Ti4OsPd (PBE)

Data for a relaxed structure of Ti4OsPd. Values from VASP.

```
&SYSTEM
  ibrav = 0, nat = 12, ntyp = 3
/
ATOMIC_SPECIES
Ti 47.87 Ti.upf
Os 190.23 Os.upf
Pd 106.42 Pd.upf
ATOMIC_POSITIONS crystal
Ti 0.122 0.000 0.366
Ti 0.129 0.500 0.886
Ti 0.371 0.000 0.114
Ti 0.378 0.500 0.634
Ti 0.622 0.500 0.366
Ti 0.629 0.000 0.886
Ti 0.871 0.500 0.114
Ti 0.878 0.000 0.634
Os 0.000 0.000 0.000
Os 0.500 0.500 0.000
Pd 0.000 0.500 0.500
Pd 0.500 0.000 0.500
CELL_PARAMETERS angstrom
7.509 0.000 0.000
0.000 4.327 0.000
-2.491 0.000 6.916
```

## Properties
Calculated formation energy   -0.54 eV per formula unit
Space-group type   C2/m
Relative energy among the computed polymorphs   380.9 meV/atom



no.,Fermi-level density of states (states/eV per cell),calculated total energy (eV/cell)
1,1.27,-54.54
2,4.41,-14.29
3,3.44,-40.37
4,4.27,-25.13
5,2.61,-23.24
6,11.70,-91.14
7,15.12,-97.09